# 1
CaSm5Ho4 | PBE | relaxed

Unit cell a=3.6014 b=3.6014 c=25.6106 alpha=90.00 beta=90.00 gamma=90.00
Last column: nearest neighbours and their distance in Å.
Space group P4/mmm (No. 123)
Unique sites:
1 Ca 0.0000 0.0000 0.0000 x1  4 Ca 3.60, 8 Sm 3.80
2 Sm 0.5000 0.5000 0.1100 x2  4 Ho 3.52, 4 Sm 3.60, 4 Ca 3.80
3 Sm 0.5000 0.5000 0.3046 x2  8 Ho 3.56-3.60, 4 Sm 3.60
4 Sm 0.5000 0.5000 0.5000 x1  8 Ho 3.58, 4 Sm 3.60
5 Ho 0.0000 0.0000 0.2052 x2  8 Sm 3.52-3.60, 4 Ho 3.60
6 Ho 0.0000 0.0000 0.4020 x2  8 Sm 3.56-3.58, 4 Ho 3.60

Properties
total magnetic moment = 0.0 μB/cell
uncorrected energy = -0.32043 Ry/atom
ρ = 7.26 g/cm³
energy of formation = 31.2 meV per atom

=====

# 2
UInS6 | PBE | relaxed

Unit cell a=10.1647 b=10.1647 c=10.1647 alpha=90.00 beta=90.00 gamma=90.00
Last column: nearest neighbours and their distance in Å.
Space group Fm-3m (No. 225)
Unique sites:
1 U 0.0000 0.0000 0.0000 x4  6 S 2.49
2 In 0.0000 0.0000 0.5000 x4  6 S 2.59
3 S 0.0000 0.0000 0.2452 x24  1 U 2.49, 1 In 2.59

Properties
total magnetic moment = 0.0 μB/cell
uncorrected energy = -0.37138 Ry/atom
formation energy from raw total energies = -157 kJ/mol of formula units
ρ = 3.45 g/cm³

=====

# 3
K2ScBr | PBE | relaxed

Unit cell a=8.9045 b=8.9045 c=8.9045 alpha=90.00 beta=90.00 gamma=90.00
Last column: nearest neighbours and their distance in Å.
Space group Fm-3m (No. 225)
Unique sites:
1 K 0.2500 0.2500 0.2500 x8  4 Br 3.86, 4 Sc 3.86
2 Sc 0.0000 0.0000 0.0000 x4  8 K 3.86
3 Br 0.0000 0.0000 0.5000 x4  8 K 3.86

Properties
total magnetic moment = 8.0 μB/cell
uncorrected energy = -0.17924 Ry/atom
formation energy from raw total energies = 43 kJ/mol of formula units
ρ = 1.91 g/cm³

=====

# 4
Ho3ErTh5 | PBE | relaxed

Unit cell a=9.1938 b=9.1938 c=14.1493 alpha=90.00 beta=90.00 gamma=90.00
Last column: nearest neighbours and their distance in Å.
Space group I4/mcm (No. 140)
Unique sites:
1 Ho 0.0000 0.0000 0.2500 x4  10 Th 3.54-3.72
2 Ho 0.1040 0.3960 0.0000 x8  1 Ho 2.70
3 Er 0.0000 0.5000 0.2500 x4  4 Th 3.22
4 Th 0.0000 0.0000 0.0000 x4  6 Ho 3.54-3.76, 8 Th 3.76
5 Th 0.2084 0.2916 0.3726 x16  1 Ho 3.03, 1 Er 3.22

Properties
total magnetic moment = 0.0 μB/cell
uncorrected energy = -0.41903 Ry/atom
ρ = 10.12 g/cm³
energy of formation = 453.9 meV per atom

=====

# 5
TbPrNd4 | PBE | relaxed

Unit cell a=11.1901 b=6.1176 c=6.1015 alpha=90.00 beta=90.14 gamma=90.00
Last column: nearest neighbours and their distance in Å.
Space group C2/m (No. 12)
Unique sites:
1 Tb 0.0000 0.0000 0.0000 x2  10 Nd 3.51-3.74
2 Pr 0.0000 0.5000 0.5000 x2  10 Nd 3.52-3.76
3 Nd 0.1636 0.0000 0.5098 x4  2 Tb 3.51-3.61, 3 Pr 3.57-3.76, 5 Nd 3.59-3.66
4 Nd 0.1655 0.5000 0.9919 x4  2 Pr 3.52-3.61, 3 Tb 3.58-3.74, 5 Nd 3.59-3.70

Properties
total magnetic moment = 0.0 μB/cell
uncorrected energy = -0.34112 Ry/atom
ρ = 6.97 g/cm³
energy of formation = 105.6 meV per atom

=====

# 6
Cd2ClO | PBE | relaxed

Unit cell a=5.8362 b=5.8362 c=11.2093 alpha=90.00 beta=90.00 gamma=90.00
Last column: nearest neighbours and their distance in Å.
Space group I-42d (No. 122)
Unique sites:
1 Cd 0.1592 0.2500 0.1250 x8  2 O 2.23
2 Cl 0.0000 0.0000 0.5000 x4  4 Cd 2.84
3 O 0.0000 0.0000 0.0000 x4  4 Cd 2.23

Properties
total magnetic moment = 0.0 μB/cell
uncorrected energy = -0.21536 Ry/atom
formation energy from raw total energies = -298 kJ/mol of formula units
ρ = 4.81 g/cm³

=====

# 7
Pm7Dy2Y2 | PBE | relaxed

Unit cell a=11.5948 b=11.4284 c=6.0916 alpha=90.00 beta=112.32 gamma=90.00
Last column: nearest neighbours and their distance in Å.
Space group C2/m (No. 12)
Unique sites:
1 Pm 0.0000 0.0000 0.0000 x2  6 Pm 3.27-3.62
2 Pm 0.1808 0.2291 0.1750 x8  3 Pm 3.15-3.38, 2 Y 3.39-3.52
3 Pm 0.2335 0.0000 0.5979 x4  5 Pm 3.38-3.62, 2 Dy 3.48-3.72, 2 Y 3.56
4 Dy 0.0795 0.5000 0.7997 x4  2 Dy 3.41-3.57, 7 Pm 3.48-3.82, 2 Y 3.65
5 Y 0.0000 0.2176 0.5000 x4  6 Pm 3.39-3.56, 2 Dy 3.65

Properties
total magnetic moment = 0.0 μB/cell
uncorrected energy = -0.35947 Ry/atom
ρ = 6.75 g/cm³
energy of formation = 144.3 meV per atom

=====

# 8
CsAsPO2 | PBE | relaxed

Unit cell a=4.1423 b=4.1423 c=7.4555 alpha=90.00 beta=90.00 gamma=90.00
Last column: nearest neighbours and their distance in Å.
Space group P4/mmm (No. 123)
Unique sites:
1 Cs 0.0000 0.0000 0.0000 x1  4 O 2.07
2 As 0.5000 0.5000 0.5000 x1  4 P 2.93
3 P 0.0000 0.0000 0.5000 x1  4 As 2.93
4 O 0.0000 0.5000 0.0000 x2  2 Cs 2.07

Properties
total magnetic moment = 0.4 μB/cell
uncorrected energy = -0.22986 Ry/atom
formation energy from raw total energies = 501 kJ/mol of formula units
ρ = 3.52 g/cm³

=====

# 9
AcPrP2 | PBE | relaxed

Unit cell a=7.3883 b=7.3883 c=7.3883 alpha=90.00 beta=90.00 gamma=90.00
Last column: nearest neighbours and their distance in Å.
Space group Fm-3m (No. 225)
Unique sites:
1 Ac 0.0000 0.0000 0.0000 x4  8 P 3.20
2 Pr 0.0000 0.0000 0.5000 x4  8 P 3.20
3 P 0.2500 0.2500 0.2500 x8  4 Ac 3.20, 4 Pr 3.20

Properties
total magnetic moment = 0.0 μB/cell
uncorrected energy = -0.44013 Ry/atom
ρ = 7.08 g/cm³
energy of formation = -1061.3 meV per atom

=====

# 10
TbEr2Al3 | PBE | relaxed

Unit cell a=3.5691 b=3.5691 c=10.8241 alpha=90.00 beta=90.00 gamma=90.00
Last column: nearest neighbours and their distance in Å.
Space group P4/mmm (No. 123)
Unique sites:
1 Tb 0.0000 0.0000 0.0000 x1  8 Al 3.13
2 Er 0.0000 0.0000 0.3354 x2  8 Al 3.08-3.09
3 Al 0.5000 0.5000 0.1715 x2  4 Er 3.08, 4 Tb 3.13
4 Al 0.5000 0.5000 0.5000 x1  8 Er 3.09

Properties
total magnetic moment = 0.0 μB/cell
uncorrected energy = -0.33516 Ry/atom
ρ = 6.92 g/cm³
energy of formation = -396.1 meV per atom

=====

# 11
K2SrTlIn | PBE | relaxed

Unit cell a=4.1821 b=5.6401 c=9.2339 alpha=90.00 beta=90.00 gamma=90.00
Last column: nearest neighbours and their distance in Å.
Space group Pmm2 (No. 25)
Unique sites:
1 K 0.0000 0.0000 0.0000 x1  2 In 3.75, 1 Tl 3.79, 2 Sr 4.12, 2 K 4.18
2 K 0.5000 0.5000 0.2808 x1  4 Tl 3.71
3 Sr 0.0000 0.5000 0.6744 x1  4 In 3.51, 2 Tl 3.73
4 Tl 0.0000 0.0000 0.4102 x1  2 In 3.13
5 In 0.5000 0.0000 0.6631 x1  2 Tl 3.13

Properties
total magnetic moment = 0.0 μB/cell
uncorrected energy = -0.14211 Ry/atom
ρ = 3.70 g/cm³
energy of formation = -137.2 meV per atom

=====

# 12
Hf4Fe7Ge6 | PBE | relaxed

Unit cell a=7.8747 b=7.8747 c=7.8747 alpha=90.00 beta=90.00 gamma=90.00
Last column: nearest neighbours and their distance in Å.
Space group Im-3m (No. 229)
Unique sites:
1 Hf 0.2500 0.2500 0.2500 x8  6 Fe 2.78, 6 Ge 2.83
2 Fe 0.0000 0.0000 0.0000 x2  6 Ge 2.47
3 Fe 0.0000 0.2500 0.5000 x12  4 Ge 2.46
4 Ge 0.0000 0.0000 0.3133 x12  5 Fe 2.46-2.47

Properties
total magnetic moment = 9.9 μB/cell
uncorrected energy = -0.58166 Ry/atom
ρ = 10.48 g/cm³
energy of formation = -457.6 meV per atom